# 1
Entry from Alexandria via LeMat-Bulk: a relaxed LaCo4Rh crystal (PBE-GGA).

a = 7.076 Å, b = 7.076 Å, c = 7.076 Å
α = 90.00°, β = 90.00°, γ = 90.00°
Space group F-43m (No. 216)
Asymmetric unit:
La1 0.000 0.000 0.000 x4
Co1 0.124 0.124 0.376 x16
Rh1 0.250 0.250 0.750 x4

Formation energy from the elements: 0.340 eV/f.u.
Final energy: -161.448 eV per cell
Calculated density: 9.0 Mg/m³

***

# 2
Entry from Alexandria via LeMat-Bulk: a relaxed La8Co3Rh2 crystal (PBE-GGA).

a = 13.147 Å, b = 8.329 Å, c = 6.932 Å
α = 90.00°, β = 90.47°, γ = 90.00°
Space group C2/m (No. 12)
Asymmetric unit:
La1 0.112 0.000 0.171 x4
La2 0.114 0.500 0.158 x4
La3 0.125 0.244 0.667 x8
Co1 0.000 0.000 0.500 x2
Co2 0.000 0.261 0.000 x4
Rh1 0.247 0.500 0.494 x4

Formation energy from the elements: -3.881 eV/f.u.
Final energy: -158.643 eV per cell
Calculated density: 6.5 Mg/m³